# Ba2FeOsO6

A relaxed Ba2FeOsO6 crystal (GGA+U, Alexandria).

Properties
crystal system	trigonal
magnetic moment	29.82	Bohr magnetons per cell
electronic total energy	-417.593	eV per cell

abc: 5.8473 5.8473 28.8398
angles: 90.00 90.00 120.00
Space group R-3m (No. 166, hexagonal axes)
Symmetry-distinct sites (fractional):
Ba 0.0000 0.0000 0.1273
Ba 0.0000 0.0000 0.2857
Fe 0.0000 0.0000 0.4071
Os 0.0000 0.0000 0.0000
Os 0.0000 0.0000 0.5000
O 0.0085 0.5043 0.7060
O 0.0273 0.5137 0.1239